# 1
Density functional theory data (PBE-GGA) for a relaxed structure of LaTaN3.

As for the calculated density: 8.0 g/cm³.

It has space group C2/m (No. 12), with a = 12.020 Å, b = 4.001 Å, c = 6.462 Å, α = 90.00°, β = 104.22° and γ = 90.00°. The distinct sites, in fractional coordinates, are La at (0.120, 0.000, 0.336), Ta at (0.151, 0.500, 0.881), N at (0.023, 0.500, 0.118), N at (0.162, 0.500, 0.592) and N at (0.170, 0.000, 0.978).

---

# 2
Density functional theory data (PBE-GGA) for a relaxed structure of LaTaN3.

As for the calculated density: 8.5 g/cm³.

It has space group P1 (No. 1), with a = 3.216 Å, b = 6.500 Å, c = 6.807 Å, α = 96.55°, β = 90.83° and γ = 90.76°. The distinct sites, in fractional coordinates, are La at (0.000, 0.000, 0.000), La at (0.485, 0.526, 0.289), Ta at (0.029, 0.069, 0.472), Ta at (0.547, 0.413, 0.764), N at (0.007, 0.418, 0.564), N at (0.097, 0.599, 0.931), N at (0.502, 0.134, 0.276), N at (0.514, 0.087, 0.705), N at (0.990, 0.797, 0.346) and N at (0.994, 0.397, 0.993).

---

no.,total DFT energy (no corrections) (eV/atom),formation energy (no corrections) (eV/atom)
1,-9.49,-1.14
2,-9.31,-0.96